## YTmCu6 (PBE)

Data for crystalline YTmCu6 at its relaxed geometry.

a b c (Å): 4.3202 5.7964 5.1632
angles (deg): 90.00 90.00 90.00
With the nearest neighbours (Å) after each atom.
Fractional coordinates of all 8 atoms:
Cu: 0.5000 0.2293 0.3612  6 Cu 2.52-2.66
Cu: 0.5000 0.5000 0.7439  6 Cu 2.52-2.57
Cu: 0.0000 0.7183 0.6343  6 Cu 2.50-2.60
Cu: 0.5000 0.7707 0.3612  6 Cu 2.52-2.66
Cu: 0.0000 0.0000 0.2682  6 Cu 2.50-2.58
Cu: 0.0000 0.2817 0.6343  6 Cu 2.50-2.60
Y: 0.5000 0.0000 0.8648  12 Cu 2.89-3.00
Tm: 0.0000 0.5000 0.1320  12 Cu 2.86-2.98

## Properties
* formation energy: -1.510 eV per formula unit
* space-group type: Pmm2 (25)
* final energy: -4.34 eV/atom